Material: LaCrSn3
Method: DFT, PBE
State: relaxed

Cell and atoms, written as POSCAR:
```
LaCrSn3
1.0
-0.4036 5.6934 1.7758
-5.9378 -0.5500 0.4140
0.5577 -1.7360 5.6926
Sn Cr La
3 1 1
Cartesian
-0.2018 2.8467 0.8879
-2.9689 -0.2750 0.2070
0.2789 -0.8680 2.8463
-2.8918 1.7037 3.9412
0.0000 0.0000 0.0000
```

Computed properties:
SG: No. 221
Total magnetization (μB per cell): 4.5
N(E_F) (states/eV/cell): 4.64
Calculated total energy (eV per atom): -4.23



Material: PmGe2AsO8
Method: DFT, PBE
State: relaxed

Cell and atoms, written as POSCAR:
```
PmGe2AsO8
1.0
-0.3850 3.7884 4.4470
-3.2579 -4.8389 0.4967
5.5774 -1.7695 -0.1918
O Pm Ge As
8 1 2 1
Cartesian
1.4733 -0.7431 4.3294
3.3725 1.3357 3.2930
0.5625 1.8517 4.2096
4.1208 -0.9397 1.1920
2.1010 -2.8616 2.5849
-0.6599 -1.4402 1.4886
1.3336 0.5430 1.6221
-1.6928 -0.3986 4.2384
0.2490 -3.5668 1.3884
1.6855 0.7468 3.3635
-1.8215 -0.5253 2.4719
0.0000 0.0000 0.0000
```

Computed properties:
SG: No. 119
Total magnetization (μB per cell): 0.0
Formation energy without anion corrections (kJ per mole of atoms): -144.77
N(E_F) (states/eV/cell): 4.38
Calculated total energy (eV per atom): -6.36



Material: HfGa2Cu2
Method: DFT, PBE
State: relaxed

Cell and atoms, written as POSCAR:
```
HfGa2Cu2
1.0
-2.9514 -0.8725 -2.2914
2.3447 0.0442 -3.0369
0.6843 -5.5611 -1.9765
Ga Hf Cu
2 1 2
Cartesian
-0.0823 -1.5662 -2.5102
0.1599 -4.8232 -4.7946
0.0000 0.0000 0.0000
1.3628 -2.9655 -3.8388
-1.2852 -3.4238 -3.4660
```

Computed properties:
SG: No. 139
Total magnetization (μB per cell): 0.0
N(E_F) (states/eV/cell): 2.21
Calculated total energy (eV per atom): -5.06



Material: AgRuW
Method: DFT, PBE
State: relaxed

Cell and atoms, written as POSCAR:
```
AgRuW
1.0
-0.0450 2.2790 -7.1042
2.1116 0.6154 -6.9229
-2.1851 -1.2087 -1.1025
W Ag Ru
1 1 1
Cartesian
-0.8087 0.1195 -5.2865
-2.1811 -1.2049 -1.1147
0.6862 1.5623 -9.8310
```

Computed properties:
SG: No. 42
Total magnetization (μB per cell): 0.3
Relative energy among the computed polymorphs (eV per atom): 0.144
N(E_F) (states/eV/cell): 3.24
Calculated total energy (eV per atom): -7.91